K2RuRh | PBE-GGA | relaxed

Results
Energy of formation from the pure elements, meV/atom: 1015
Crystal system: tetragonal

Cell: 8.9556 8.9556 8.9556 Å, 93.91 93.91 149.73°
With the nearest neighbours (Å) after each atom.
Positions (direct):
1 K 0.3750 0.1916 0.3166  2 Rh 3.22
2 K 0.8084 0.1250 0.1834  2 Rh 3.22
3 K 0.8750 0.0584 0.6834  2 Rh 3.22
4 K 0.9416 0.6250 0.8166  2 Rh 3.22
5 Ru 0.2500 0.7500 0.5000  2 Rh 2.34
6 Ru 0.5000 0.5000 0.0000  2 Rh 2.34
7 Rh 0.0000 0.0000 0.0000  2 Ru 2.34
8 Rh 0.7500 0.2500 0.5000  2 Ru 2.34